Compound: In2ReTc
Source: the Alexandria database
Functional: PBE-GGA
Structure: relaxed

Its energy relative to the lowest polymorph listed for this composition is 449 meV per atom. Its energy of formation is 0.571 eV/atom. The calculation puts the total moment at 0.0 Bohr magnetons per cell.

It has space group R-3m (No. 166, hexagonal axes), with a = 2.9990 Å, b = 2.9990 Å, c = 27.2015 Å, α = 90.00°, β = 90.00° and γ = 120.00°. The asymmetric unit holds In at (0.0000, 0.0000, 0.2490), Re at (0.0000, 0.0000, 0.0000) and Tc at (0.0000, 0.0000, 0.5000).

=====

Compound: Sm2ScSnC
Source: the Alexandria database
Functional: PBE-GGA
Structure: relaxed

Its energy of formation is -0.588 eV/atom. The calculation puts the total moment at 0.0 Bohr magnetons per cell.

It has space group P4/mmm (No. 123), with a = 5.036 Å, b = 5.036 Å, c = 4.585 Å, α = 90.00°, β = 90.00° and γ = 90.00°. The asymmetric unit holds Sm at (0.000, 0.500, 0.000), Sc at (0.000, 0.000, 0.500), Sn at (0.500, 0.500, 0.500) and C at (0.000, 0.000, 0.000).

=====

Compound: LuTi2H
Source: the Alexandria database
Functional: PBE-GGA
Structure: relaxed

For the energy, the calculation gives -70.81 eV for the cell shown. The calculation puts the total moment at 0.0 Bohr magnetons per cell.

It has space group R-3m (No. 166, hexagonal axes), with a = 3.1118 Å, b = 3.1118 Å, c = 22.5579 Å, α = 90.00°, β = 90.00° and γ = 120.00°. The asymmetric unit holds Lu at (0.0000, 0.0000, 0.0000), Ti at (0.0000, 0.0000, 0.2176) and H at (0.0000, 0.0000, 0.5000).

=====

Compound: SrSc2W
Source: the Alexandria database
Functional: PBE-GGA
Structure: relaxed

Its energy relative to the lowest polymorph listed for this composition is 287 meV per atom. Its energy of formation is 0.650 eV/atom. The calculation puts the total moment at 0.0 Bohr magnetons per cell.

It has space group P4mm (No. 99), with a = 3.053 Å, b = 3.053 Å, c = 10.482 Å, α = 90.00°, β = 90.00° and γ = 90.00°. The asymmetric unit holds Sr at (0.000, 0.000, 0.000), Sc at (0.000, 0.000, 0.443), Sc at (0.500, 0.500, 0.693) and W at (0.500, 0.500, 0.248).

=====

For each record above, in turn, the calculated ρ values are 12.081; 6.803; 7.155; 6.144 g cm⁻³.